# 1
# HfMgHgPt (PBE, optimized geometry)
data_HfMgHgPt
_chemical_formula_sum 'Hf4 Mg4 Hg4 Pt4'
_space_group_name_H-M_alt 'F -4 3 m'
_space_group_IT_number 216
_space_group_name_Hall 'F -4 2 3'
_cell_length_a 6.623
_cell_length_b 6.623
_cell_length_c 6.623
_cell_angle_alpha 90.00
_cell_angle_beta 90.00
_cell_angle_gamma 90.00
loop_
_atom_site_label
_atom_site_fract_x
_atom_site_fract_y
_atom_site_fract_z
_atom_site_occupancy
Hf1 0.000 0.000 0.000 1
Mg1 0.250 0.250 0.750 1
Hg1 0.000 0.000 0.500 1
Pt1 0.250 0.250 0.250 1
# - Energy: -4.85 eV/atom
# - M_tot: 0.000 μB/atom
# - Crystal system: cubic

***

# 2
# MgZnCuB (PBE, optimized geometry)
data_MgZnCuB
_chemical_formula_sum 'Mg4 Zn4 Cu4 B4'
_space_group_name_H-M_alt 'F -4 3 m'
_space_group_IT_number 216
_space_group_name_Hall 'F -4 2 3'
_cell_length_a 5.864
_cell_length_b 5.864
_cell_length_c 5.864
_cell_angle_alpha 90.00
_cell_angle_beta 90.00
_cell_angle_gamma 90.00
loop_
_atom_site_label
_atom_site_fract_x
_atom_site_fract_y
_atom_site_fract_z
_atom_site_occupancy
Mg1 0.000 0.000 0.000 1
Zn1 0.000 0.000 0.500 1
Cu1 0.250 0.250 0.750 1
B1 0.250 0.250 0.250 1
# - Energy: -2.84 eV/atom
# - Crystal system: cubic

***

# 3
# SmEr2Tl3 (PBE, optimized geometry)
data_SmEr2Tl3
_chemical_formula_sum 'Sm1 Er2 Tl3'
_space_group_name_H-M_alt 'P 4/m m m'
_space_group_IT_number 123
_space_group_name_Hall '-P 4 2'
_cell_length_a 3.684
_cell_length_b 3.684
_cell_length_c 12.040
_cell_angle_alpha 90.00
_cell_angle_beta 90.00
_cell_angle_gamma 90.00
loop_
_atom_site_label
_atom_site_fract_x
_atom_site_fract_y
_atom_site_fract_z
_atom_site_occupancy
Sm1 0.000 0.000 0.000 1
Er1 0.000 0.000 0.337 1
Tl1 0.500 0.500 0.174 1
Tl2 0.500 0.500 0.500 1
# - Energy: -3.82 eV/atom
# - M_tot: 0.009 μB/atom
# - Crystal system: tetragonal

***

# 4
# InCu3GeTe4 (PBE, optimized geometry)
data_InCu3GeTe4
_chemical_formula_sum 'In2 Cu6 Ge2 Te8'
_space_group_name_H-M_alt 'P 1 21/m 1'
_space_group_IT_number 11
_space_group_name_Hall '-P 2yb'
_cell_length_a 6.030
_cell_length_b 7.918
_cell_length_c 10.714
_cell_angle_alpha 90.00
_cell_angle_beta 104.56
_cell_angle_gamma 90.00
loop_
_atom_site_label
_atom_site_fract_x
_atom_site_fract_y
_atom_site_fract_z
_atom_site_occupancy
In1 0.167 0.250 0.406 1
Cu1 0.305 0.547 0.012 1
Cu2 0.334 0.750 0.204 1
Ge1 0.120 0.250 0.775 1
Te1 0.044 0.250 0.015 1
Te2 0.227 0.750 0.431 1
Te3 0.383 0.523 0.779 1
# - Energy: -3.47 eV/atom
# - Crystal system: monoclinic

***

# 5
# NaNdMgSe3 (PBE, optimized geometry)
data_NaNdMgSe3
_chemical_formula_sum 'Na4 Nd4 Mg4 Se12'
_space_group_name_H-M_alt 'C m c m'
_space_group_IT_number 63
_space_group_name_Hall '-C 2c 2'
_cell_length_a 4.227
_cell_length_b 13.661
_cell_length_c 11.521
_cell_angle_alpha 90.00
_cell_angle_beta 90.00
_cell_angle_gamma 90.00
loop_
_atom_site_label
_atom_site_fract_x
_atom_site_fract_y
_atom_site_fract_z
_atom_site_occupancy
Na1 0.000 0.246 0.250 1
Nd1 0.000 0.000 0.000 1
Mg1 0.000 0.471 0.750 1
Se1 0.000 0.083 0.750 1
Se2 0.000 0.362 0.573 1
# - Energy: -4.46 eV/atom
# - M_tot: 0.000 μB/atom
# - Crystal system: orthorhombic

***

# 6
# Sc4Ni3W2C3 (PBE, optimized geometry)
data_Sc4Ni3W2C3
_chemical_formula_sum 'Sc16 Ni12 W8 C12'
_space_group_name_H-M_alt 'C 1 2/c 1'
_space_group_IT_number 15
_space_group_name_Hall '-C 2yc'
_cell_length_a 9.441
_cell_length_b 5.460
_cell_length_c 13.331
_cell_angle_alpha 90.00
_cell_angle_beta 103.06
_cell_angle_gamma 90.00
loop_
_atom_site_label
_atom_site_fract_x
_atom_site_fract_y
_atom_site_fract_z
_atom_site_occupancy
Sc1 0.047 0.075 0.385 1
Sc2 0.226 0.409 0.904 1
Ni1 0.000 0.405 0.750 1
Ni2 0.246 0.337 0.251 1
W1 0.116 0.409 0.582 1
C1 0.074 0.261 0.000 1
C2 0.250 0.250 0.500 1
# - Energy: -8.33 eV/atom
# - M_tot: 0.001 μB/atom
# - Crystal system: monoclinic

***

# 7
# TcSn2 (PBE, optimized geometry)
data_TcSn2
_chemical_formula_sum 'Tc4 Sn8'
_space_group_name_H-M_alt 'C 1 2/m 1'
_space_group_IT_number 12
_space_group_name_Hall '-C 2y'
_cell_length_a 9.999
_cell_length_b 3.517
_cell_length_c 7.975
_cell_angle_alpha 90.00
_cell_angle_beta 118.38
_cell_angle_gamma 90.00
loop_
_atom_site_label
_atom_site_fract_x
_atom_site_fract_y
_atom_site_fract_z
_atom_site_occupancy
Tc1 0.147 0.000 0.183 1
Sn1 0.094 0.500 0.879 1
Sn2 0.156 0.000 0.553 1
# - Energy: -6.13 eV/atom
# - M_tot: 0.004 μB/atom
# - Crystal system: monoclinic

***

# 8
# Cs2Rb3TcO6 (PBE, optimized geometry)
data_Cs2Rb3TcO6
_chemical_formula_sum 'Cs4 Rb6 Tc2 O12'
_space_group_name_H-M_alt 'C 1 2/m 1'
_space_group_IT_number 12
_space_group_name_Hall '-C 2y'
_cell_length_a 6.606
_cell_length_b 11.541
_cell_length_c 6.585
_cell_angle_alpha 90.00
_cell_angle_beta 110.80
_cell_angle_gamma 90.00
loop_
_atom_site_label
_atom_site_fract_x
_atom_site_fract_y
_atom_site_fract_z
_atom_site_occupancy
Cs1 0.000 0.171 0.000 1
Rb1 0.000 0.334 0.500 1
Rb2 0.000 0.500 0.000 1
Tc1 0.000 0.000 0.500 1
O1 0.174 0.000 0.318 1
O2 0.183 0.118 0.681 1
# - Energy: -5.14 eV/atom
# - M_tot: 0.000 μB/atom
# - Crystal system: monoclinic

***

# 9
# SrMg2Co (PBE, optimized geometry)
data_SrMg2Co
_chemical_formula_sum 'Sr4 Mg8 Co4'
_space_group_name_H-M_alt 'F -4 3 m'
_space_group_IT_number 216
_space_group_name_Hall 'F -4 2 3'
_cell_length_a 7.104
_cell_length_b 7.104
_cell_length_c 7.104
_cell_angle_alpha 90.00
_cell_angle_beta 90.00
_cell_angle_gamma 90.00
loop_
_atom_site_label
_atom_site_fract_x
_atom_site_fract_y
_atom_site_fract_z
_atom_site_occupancy
Sr1 0.000 0.000 0.000 1
Mg1 0.000 0.000 0.500 1
Mg2 0.250 0.250 0.750 1
Co1 0.250 0.250 0.250 1
# - Energy: -2.59 eV/atom
# - M_tot: 0.247 μB/atom
# - Crystal system: cubic

***

# 10
# ZnPOsO (PBE, optimized geometry)
data_ZnPOsO
_chemical_formula_sum 'Zn2 P2 Os2 O2'
_space_group_name_H-M_alt 'P 4/n m m'
_space_group_IT_number 129
_cell_length_a 3.316
_cell_length_b 3.316
_cell_length_c 9.844
_cell_angle_alpha 90.00
_cell_angle_beta 90.00
_cell_angle_gamma 90.00
loop_
_space_group_symop_operation_xyz
'x,y,z'
'-x,-y,-z'
'-y+1/2,x,z'
'y+1/2,-x,-z'
'-x+1/2,-y+1/2,z'
'x+1/2,y+1/2,-z'
'y,-x+1/2,z'
'-y,x+1/2,-z'
'x+1/2,-y,-z'
'-x+1/2,y,z'
'-y,-x,-z'
'y,x,z'
'-x,y+1/2,-z'
'x,-y+1/2,z'
'y+1/2,x+1/2,-z'
'-y+1/2,-x+1/2,z'
loop_
_atom_site_label
_atom_site_fract_x
_atom_site_fract_y
_atom_site_fract_z
_atom_site_occupancy
Zn1 0.250 0.750 0.000 1
P1 0.250 0.250 0.248 1
Os1 0.250 0.250 0.638 1
O1 0.250 0.750 0.500 1
# - Energy: -5.39 eV/atom
# - M_tot: 0.003 μB/atom
# - Crystal system: tetragonal

***

# 11
# ZnCoReAu (PBE, optimized geometry)
data_ZnCoReAu
_chemical_formula_sum 'Zn4 Co4 Re4 Au4'
_space_group_name_H-M_alt 'F -4 3 m'
_space_group_IT_number 216
_space_group_name_Hall 'F -4 2 3'
_cell_length_a 6.149
_cell_length_b 6.149
_cell_length_c 6.149
_cell_angle_alpha 90.00
_cell_angle_beta 90.00
_cell_angle_gamma 90.00
loop_
_atom_site_label
_atom_site_fract_x
_atom_site_fract_y
_atom_site_fract_z
_atom_site_occupancy
Zn1 0.000 0.000 0.000 1
Co1 0.250 0.250 0.250 1
Re1 0.000 0.000 0.500 1
Au1 0.250 0.250 0.750 1
# - DFT formation energy: 0.53 eV per atom
# - M_tot: 0.216 μB/atom
# - Crystal system: cubic

***

# 12
# Zn (PBE, optimized geometry)
data_Zn
_chemical_formula_sum 'Zn4'
_space_group_name_H-M_alt 'F m -3 m'
_space_group_IT_number 225
_space_group_name_Hall '-F 4 2 3'
_cell_length_a 3.900
_cell_length_b 3.900
_cell_length_c 3.900
_cell_angle_alpha 90.00
_cell_angle_beta 90.00
_cell_angle_gamma 90.00
loop_
_atom_site_label
_atom_site_fract_x
_atom_site_fract_y
_atom_site_fract_z
_atom_site_occupancy
Zn1 0.000 0.000 0.000 1
# - DFT formation energy: 0.02 eV per atom
# - Crystal system: cubic